Entry from the Alexandria database: an optimized crystal structure of La2PmSm2Cd (GGA-PBE).

Values from the calculation:
The energy is -4.1114 eV per atom. The value obtained for the formation energy is 48 meV per atom. The value obtained for the density of states at the Fermi level is 9.5 states/eV/f.u.

a = 5.8376 Å, b = 10.1877 Å, c = 6.6902 Å
α = 90.00°, β = 90.00°, γ = 90.00°
Atoms (fractional coordinates):
La 0.0000 0.6368 0.3005
La 0.5000 0.8632 0.8005
La 0.0000 0.3632 0.6995
La 0.5000 0.1368 0.1995
Pm 0.0000 0.0000 0.5000
Pm 0.5000 0.5000 0.0000
Sm 0.0000 0.2949 0.1971
Sm 0.5000 0.2051 0.6971
Sm 0.5000 0.7949 0.3029
Sm 0.0000 0.7051 0.8029
Cd 0.0000 0.0000 0.0000
Cd 0.5000 0.5000 0.5000


Entry from the Alexandria database: an optimized crystal structure of BeIn3Hg (GGA-PBE).

Values from the calculation:
As for the energy above the most stable polymorph in this dataset: 0.000 eV/atom. The energy is -2.2196 eV per atom. The value obtained for the formation energy is 229 meV per atom. The value obtained for the density of states at the Fermi level is 2.3 states/eV/f.u.

a = 5.0032 Å, b = 5.0032 Å, c = 5.0032 Å
α = 90.00°, β = 90.00°, γ = 90.00°
Atoms (fractional coordinates):
In 0.0000 0.0000 0.5000
In 0.0000 0.5000 0.0000
In 0.5000 0.0000 0.0000
Hg 0.5000 0.5000 0.5000
Be 0.0000 0.0000 0.0000


Entry from the Alexandria database: an optimized crystal structure of Ba2AgF6 (GGA-PBE).

Values from the calculation:
The energy is -4.8463 eV per atom. The uncorrected formation energy comes out at -2.8547 eV/atom. The value obtained for the density of states at the Fermi level is 0.4 states/eV/f.u.

a = 5.6276 Å, b = 5.6276 Å, c = 12.1473 Å
α = 90.00°, β = 90.00°, γ = 90.00°
Last column: magnetic moment on the atom in μB.
Atoms (fractional coordinates):
F 0.3207 0.3207 0.6575  0.04
F 0.2329 0.7671 0.5000  0.12
F 0.8207 0.1793 0.8425  0.04
F 0.3207 0.3207 0.3425  0.04
F 0.6793 0.6793 0.6575  0.04
F 0.7329 0.7329 0.0000  0.12
F 0.8207 0.1793 0.1575  0.04
F 0.1793 0.8207 0.1575  0.04
F 0.1793 0.8207 0.8425  0.04
F 0.6793 0.6793 0.3425  0.04
F 0.2671 0.2671 0.0000  0.12
F 0.7671 0.2329 0.5000  0.12
Ba 0.5000 0.5000 0.8350  0.01
Ba 0.0000 0.0000 0.6650  0.01
Ba 0.5000 0.5000 0.1650  0.01
Ba 0.0000 0.0000 0.3350  0.01
Ag 0.0000 0.0000 0.0000  0.56
Ag 0.5000 0.5000 0.5000  0.56


Entry from the Alexandria database: an optimized crystal structure of PrNd4Y (GGA-PBE).

Values from the calculation:
As for the energy above the most stable polymorph in this dataset: 0.000 eV/atom. The energy is -5.0406 eV per atom. The value obtained for the formation energy is 12 meV per atom. The value obtained for the density of states at the Fermi level is 9.3 states/eV/f.u.

a = 3.6761 Å, b = 15.1176 Å, c = 11.0260 Å
α = 136.78°, β = 90.00°, γ = 90.00°
Atoms (fractional coordinates):
Y 0.5006 0.7500 0.2500
Y 0.4994 0.2500 0.7500
Nd 0.4993 0.7502 0.5808
Nd 0.5007 0.2502 0.0808
Nd 0.5007 0.2498 0.4192
Nd 0.0005 0.9999 0.3351
Nd 0.4993 0.7498 0.9192
Nd 0.9995 0.4999 0.8351
Nd 0.9995 0.0001 0.6649
Nd 0.0005 0.5001 0.1649
Pr 0.0000 0.0000 0.0000
Pr 0.0000 0.5000 0.5000